DFT (PBE) results for a geometry-optimized TiCd2Pt structure.

Calculated values
VASP energy: -4.106 eV per atom
excess energy over the best structure of this formula in the dataset: 0.000 eV per atom

Unit cell a=6.5807 b=6.5807 c=6.5807 alpha=90.00 beta=90.00 gamma=90.00
Space group Fm-3m (No. 225)
Unique sites:
Ti1 0.0000 0.0000 0.0000 [4 per cell]
Cd1 0.2500 0.2500 0.2500 [8 per cell]
Pt1 0.0000 0.0000 0.5000 [4 per cell]


DFT (PBE) results for a geometry-optimized TiCdPt2 structure.

Calculated values
VASP energy: -5.913 eV per atom

Unit cell a=3.1173 b=3.1173 c=7.0404 alpha=90.00 beta=90.00 gamma=90.00
Space group P4/mmm (No. 123)
Unique sites:
Ti1 0.0000 0.0000 0.0000 [1 per cell]
Cd1 0.0000 0.0000 0.5000 [1 per cell]
Pt1 0.5000 0.5000 0.2154 [2 per cell]


DFT (PBE) results for a geometry-optimized TiCdPt6 structure.

Calculated values
VASP energy: -6.219 eV per atom

Unit cell a=3.9924 b=3.9924 c=7.9780 alpha=90.00 beta=90.00 gamma=90.00
Space group P4/mmm (No. 123)
Unique sites:
Ti1 0.0000 0.0000 0.0000 [1 per cell]
Cd1 0.0000 0.0000 0.5000 [1 per cell]
Pt1 0.0000 0.5000 0.2373 [4 per cell]
Pt2 0.5000 0.5000 0.0000 [1 per cell]
Pt3 0.5000 0.5000 0.5000 [1 per cell]


DFT (PBE) results for a geometry-optimized TiCdPt2 structure.

Calculated values
VASP energy: -5.507 eV per atom

Unit cell a=7.2452 b=7.2452 c=5.6326 alpha=90.00 beta=90.00 gamma=90.00
Space group I-42d (No. 122)
Unique sites:
Ti1 0.0000 0.0000 0.0000 [4 per cell]
Cd1 0.0000 0.0000 0.5000 [4 per cell]
Pt1 0.2143 0.2500 0.1250 [8 per cell]


DFT (PBE) results for a geometry-optimized TlCd4Pt structure.

Calculated values
VASP energy: -1.865 eV per atom

Unit cell a=8.0782 b=8.0782 c=8.0782 alpha=90.00 beta=90.00 gamma=90.00
Space group F-43m (No. 216)
Unique sites:
Tl1 0.0000 0.0000 0.0000 [4 per cell]
Cd1 0.1242 0.1242 0.6242 [16 per cell]
Pt1 0.2500 0.2500 0.2500 [4 per cell]


DFT (PBE) results for a geometry-optimized Tl3CdPt structure.

Calculated values
VASP energy: -2.768 eV per atom
excess energy over the best structure of this formula in the dataset: 0.000 eV per atom

Unit cell a=5.3845 b=5.3845 c=5.3845 alpha=90.00 beta=90.00 gamma=90.00
Space group Pm-3m (No. 221)
Unique sites:
Tl1 0.0000 0.0000 0.5000 [3 per cell]
Cd1 0.5000 0.5000 0.5000 [1 per cell]
Pt1 0.0000 0.0000 0.0000 [1 per cell]


DFT (PBE) results for a geometry-optimized Tl5CdPt4 structure.

Calculated values
VASP energy: -3.745 eV per atom

Unit cell a=18.9854 b=4.0266 c=6.8904 alpha=90.00 beta=111.08 gamma=90.00
Space group C2/m (No. 12)
Unique sites:
Tl1 0.0000 0.0000 0.0000 [2 per cell]
Tl2 0.1414 0.5000 0.7991 [4 per cell]
Tl3 0.1978 0.5000 0.2823 [4 per cell]
Cd1 0.0000 0.0000 0.5000 [2 per cell]
Pt1 0.0491 0.5000 0.2896 [4 per cell]
Pt2 0.1481 0.0000 0.5146 [4 per cell]


DFT (PBE) results for a geometry-optimized TlCdPt structure.

Calculated values
VASP energy: -3.134 eV per atom

Unit cell a=3.2452 b=3.2452 c=12.2987 alpha=90.00 beta=90.00 gamma=90.00
Space group I4mm (No. 107)
Unique sites:
Tl1 0.0000 0.0000 0.0000 [2 per cell]
Cd1 0.0000 0.0000 0.2928 [2 per cell]
Pt1 0.0000 0.0000 0.6586 [2 per cell]


DFT (PBE) results for a geometry-optimized TlCdPt structure.

Calculated values
VASP energy: -3.137 eV per atom

Unit cell a=3.6158 b=3.6158 c=9.4566 alpha=90.00 beta=90.00 gamma=90.00
Space group I4mm (No. 107)
Unique sites:
Tl1 0.0000 0.0000 0.0000 [2 per cell]
Cd1 0.0000 0.0000 0.6887 [2 per cell]
Pt1 0.0000 0.0000 0.3307 [2 per cell]


DFT (PBE) results for a geometry-optimized TlCd2Pt9 structure.

Calculated values
VASP energy: -5.010 eV per atom

Unit cell a=4.0554 b=4.0554 c=12.1950 alpha=90.00 beta=90.00 gamma=90.00
Space group P4/mmm (No. 123)
Unique sites:
Tl1 0.0000 0.0000 0.0000 [1 per cell]
Cd1 0.0000 0.0000 0.3351 [2 per cell]
Pt1 0.0000 0.5000 0.1703 [4 per cell]
Pt2 0.0000 0.5000 0.5000 [2 per cell]
Pt3 0.5000 0.5000 0.0000 [1 per cell]
Pt4 0.5000 0.5000 0.3352 [2 per cell]


DFT (PBE) results for a geometry-optimized Tl2CdPt2 structure.

Calculated values
VASP energy: -3.606 eV per atom
excess energy over the best structure of this formula in the dataset: 0.000 eV per atom

Unit cell a=7.3943 b=7.3943 c=3.8306 alpha=90.00 beta=90.00 gamma=90.00
Space group P4/mbm (No. 127)
Unique sites:
Tl1 0.1622 0.3378 0.0000 [4 per cell]
Cd1 0.0000 0.0000 0.5000 [2 per cell]
Pt1 0.1396 0.6396 0.5000 [4 per cell]


DFT (PBE) results for a geometry-optimized TlCdPt structure.

Calculated values
VASP energy: -3.067 eV per atom

Unit cell a=4.8289 b=4.8289 c=3.0942 alpha=90.00 beta=90.00 gamma=120.00
Space group P3m1 (No. 156)
Unique sites:
Tl1 0.0000 0.0000 0.0000 [1 per cell]
Cd1 0.6667 0.3333 0.4850 [1 per cell]
Pt1 0.3333 0.6667 0.9306 [1 per cell]


DFT (PBE) results for a geometry-optimized Tl2CdPt2 structure.

Calculated values
VASP energy: -3.413 eV per atom
excess energy over the best structure of this formula in the dataset: 0.193 eV per atom

Unit cell a=4.2368 b=4.2368 c=12.7614 alpha=90.00 beta=90.00 gamma=90.00
Space group I4/mmm (No. 139)
Unique sites:
Tl1 0.0000 0.5000 0.2500 [4 per cell]
Cd1 0.0000 0.0000 0.0000 [2 per cell]
Pt1 0.0000 0.0000 0.3994 [4 per cell]


DFT (PBE) results for a geometry-optimized Tl2CdPt2 structure.

Calculated values
VASP energy: -3.487 eV per atom
excess energy over the best structure of this formula in the dataset: 0.118 eV per atom

Unit cell a=3.8072 b=3.8072 c=17.0101 alpha=90.00 beta=90.00 gamma=90.00
Space group I4/mmm (No. 139)
Unique sites:
Tl1 0.0000 0.0000 0.1197 [4 per cell]
Cd1 0.0000 0.0000 0.5000 [2 per cell]
Pt1 0.0000 0.5000 0.2500 [4 per cell]


DFT (PBE) results for a geometry-optimized Tl2CdPt2 structure.

Calculated values
VASP energy: -3.426 eV per atom
excess energy over the best structure of this formula in the dataset: 0.180 eV per atom

Unit cell a=8.5046 b=8.5046 c=2.9571 alpha=90.00 beta=90.00 gamma=90.00
Space group P4/mbm (No. 127)
Unique sites:
Tl1 0.1404 0.3596 0.0000 [4 per cell]
Cd1 0.0000 0.0000 0.0000 [2 per cell]
Pt1 0.1580 0.6580 0.5000 [4 per cell]


DFT (PBE) results for a geometry-optimized TlZnCd2Pt structure.

Calculated values
VASP energy: -2.371 eV per atom

Unit cell a=5.2680 b=5.2680 c=4.8867 alpha=90.00 beta=90.00 gamma=90.00
Space group P4/mmm (No. 123)
Unique sites:
Tl1 0.0000 0.0000 0.0000 [1 per cell]
Zn1 0.5000 0.5000 0.0000 [1 per cell]
Cd1 0.0000 0.5000 0.5000 [2 per cell]
Pt1 0.5000 0.5000 0.5000 [1 per cell]


DFT (PBE) results for a geometry-optimized TlZn2CdPt structure.

Calculated values
VASP energy: -2.456 eV per atom

Unit cell a=4.9008 b=4.9008 c=5.2696 alpha=90.00 beta=90.00 gamma=90.00
Space group P4/mmm (No. 123)
Unique sites:
Tl1 0.0000 0.0000 0.0000 [1 per cell]
Zn1 0.0000 0.5000 0.5000 [2 per cell]
Cd1 0.5000 0.5000 0.0000 [1 per cell]
Pt1 0.5000 0.5000 0.5000 [1 per cell]


DFT (PBE) results for a geometry-optimized TmCd4Pt2 structure.

Calculated values
VASP energy: -3.328 eV per atom

Unit cell a=4.2873 b=3.7569 c=9.3916 alpha=90.00 beta=101.01 gamma=90.00
Space group P2/m (No. 10)
Unique sites:
Tm1 0.0000 0.0000 0.0000 [1 per cell]
Cd1 0.1732 0.5000 0.3323 [2 per cell]
Cd2 0.3051 0.0000 0.6215 [2 per cell]
Pt1 0.4082 0.5000 0.8610 [2 per cell]


DFT (PBE) results for a geometry-optimized TmCd3Pt8 structure.

Calculated values
VASP energy: -5.107 eV per atom

Unit cell a=5.3846 b=5.3846 c=26.1297 alpha=90.00 beta=90.00 gamma=120.00
Space group R3m (No. 160, hexagonal axes)
Unique sites:
Tm1 0.0000 0.0000 0.0000 [3 per cell]
Cd1 0.0000 0.0000 0.1267 [3 per cell]
Cd2 0.0000 0.0000 0.4962 [3 per cell]
Cd3 0.0000 0.0000 0.6183 [3 per cell]
Pt1 0.0000 0.0000 0.3111 [3 per cell]
Pt2 0.0000 0.0000 0.8110 [3 per cell]
Pt3 0.9999 0.5000 0.5616 [9 per cell]
Pt4 0.1674 0.3347 0.3938 [9 per cell]


DFT (PBE) results for a geometry-optimized Tm3Cd3Pt2 structure.

Calculated values
VASP energy: -4.348 eV per atom

Unit cell a=7.6000 b=7.6000 c=3.6179 alpha=90.00 beta=90.00 gamma=120.00
Space group P-62m (No. 189)
Unique sites:
Tm1 0.0000 0.5754 0.0000 [3 per cell]
Cd1 0.0000 0.2253 0.5000 [3 per cell]
Pt1 0.3333 0.6667 0.5000 [2 per cell]